Hf2MnRe2 | the Alexandria database | PBE-GGA | optimized geometry; symmetry = No. 127; Fermi-level density of states = 9.794 states/eV/cell; formation enthalpy at 0 K = 0.1 eV per formula unit; total DFT energy (no corrections) = -107.67 eV/cell; distance to the lowest polymorph of the same formula = 0.0 meV/atom; total magnetization = 0.00 μB/f.u.
1.0
6.287 0.000 0.000
0.000 6.287 0.000
0.000 0.000 4.453
Re Mn Hf
4 2 4
Direct
0.357 0.857 0.000
0.857 0.643 0.000
0.643 0.143 0.000
0.143 0.357 0.000
0.000 0.000 0.000
0.500 0.500 0.000
0.177 0.677 0.500
0.677 0.823 0.500
0.823 0.323 0.500
0.323 0.177 0.500

=====

CsNi3W | the Alexandria database | PBE-GGA | optimized geometry; symmetry = No. 221; Fermi-level density of states = 11.600 states/eV/cell; formation enthalpy at 0 K = 14.1 eV per formula unit; total DFT energy (no corrections) = -17.02 eV/cell; total magnetization = 0.00 μB/f.u.
1.0
-4.194 1.762 -0.796
-1.775 -2.756 3.253
0.767 3.260 3.180
Cs Ni W
1 3 1
Direct
0.000 0.000 0.000
0.000 0.500 0.000
0.000 0.000 0.500
0.500 0.000 0.000
0.500 0.500 0.500

=====

LiScMo2 | the Alexandria database | PBE-GGA | optimized geometry; symmetry = No. 65; Fermi-level density of states = 3.142 states/eV/cell; formation enthalpy at 0 K = 1.3 eV per formula unit; total DFT energy (no corrections) = -28.60 eV/cell; distance to the lowest polymorph of the same formula = 143.9 meV/atom; total magnetization = 0.00 μB/f.u.
1.0
2.695 0.025 0.000
-0.571 2.634 0.000
0.000 0.000 9.476
Li Mo Sc
1 2 1
Direct
0.500 0.500 0.750
0.000 0.000 0.998
0.000 0.000 0.502
0.500 0.500 0.250

=====

Ca2CoAsN | the Alexandria database | PBE-GGA | optimized geometry; symmetry = No. 123; Fermi-level density of states = 4.010 states/eV/cell; total DFT energy (no corrections) = -27.69 eV/cell; ΔE_f (raw) = -0.72 eV per atom; total magnetization = 0.09 μB/f.u.
1.0
-4.905 0.851 -1.020
-0.591 -4.893 -1.237
-0.827 -0.747 3.351
As Co Ca N
1 1 2 1
Direct
0.500 0.500 0.500
0.000 0.000 0.500
0.000 0.500 0.000
0.500 0.000 0.000
0.000 0.000 0.000

=====

NiPd2Rh2 | the Alexandria database | PBE-GGA | optimized geometry; symmetry = No. 164; Fermi-level density of states = 9.654 states/eV/cell; formation enthalpy at 0 K = 0.4 eV per formula unit; total DFT energy (no corrections) = -30.47 eV/cell; distance to the lowest polymorph of the same formula = 0.0 meV/atom; total magnetization = 1.20 μB/f.u.
1.0
2.732 0.000 -0.006
1.366 2.366 -0.006
0.026 0.015 10.978
Ni Pd Rh
1 2 2
Direct
0.000 0.000 0.000
0.333 0.333 0.191
0.667 0.667 0.809
0.333 0.333 0.599
0.667 0.667 0.401

=====

PmPrRh4 | the Alexandria database | PBE-GGA | optimized geometry; symmetry = No. 216; Fermi-level density of states = 3.563 states/eV/cell; formation enthalpy at 0 K = -3.9 eV per formula unit; total DFT energy (no corrections) = -42.85 eV/cell; total magnetization = 0.00 μB/f.u.
1.0
-1.117 3.344 -4.115
-4.468 -0.759 -2.972
-4.134 3.483 0.385
Pr Rh Pm
1 4 1
Direct
0.250 0.250 0.250
0.625 0.625 0.125
0.625 0.125 0.625
0.625 0.625 0.625
0.125 0.625 0.625
0.000 0.000 0.000

=====

Tc3SeBr | the Alexandria database | PBE-GGA | optimized geometry; symmetry = No. 221; Fermi-level density of states = 3.220 states/eV/cell; total DFT energy (no corrections) = -29.15 eV/cell; distance to the lowest polymorph of the same formula = 0.0 meV/atom; ΔE_f (raw) = 1.42 eV per atom; total magnetization = 3.87 μB/f.u.
1.0
-0.932 -0.717 4.519
-3.064 -3.328 -1.160
3.399 -3.197 0.194
Se Tc Br
1 3 1
Direct
0.000 0.000 0.000
0.000 0.500 0.000
0.000 0.000 0.500
0.500 0.000 0.000
0.500 0.500 0.500

=====

HgSbF2 | the Alexandria database | PBE-GGA | optimized geometry; symmetry = No. 166; Fermi-level density of states = 0.970 states/eV/cell; total DFT energy (no corrections) = -12.66 eV/cell; distance to the lowest polymorph of the same formula = 129.0 meV/atom; ΔE_f (raw) = -1.12 eV per atom; total magnetization = 0.00 μB/f.u.
1.0
8.247 3.801 1.628
8.996 0.779 1.894
8.929 2.130 -0.923
Sb Hg F
1 1 2
Direct
0.500 0.500 0.500
0.000 0.000 0.000
0.899 0.899 0.899
0.101 0.101 0.101

=====

Number 7 is which compound?
Tc3SeBr

=====

What is the formula in the third record?
LiScMo2